PBE NaCu6Se8, optimized geometry; crystal system = trigonal; raw total energy = -3.698 eV/atom; SG = No. 148
1.0
4.8554 2.8033 3.9176
-4.8554 2.8033 3.9176
0.0000 -5.6065 3.9176
Na Cu Se
1 6 8
direct
0.0000 0.0000 0.0000 Na
0.1692 0.5577 0.4254 Cu
0.4254 0.1692 0.5577 Cu
0.4423 0.5746 0.8308 Cu
0.5577 0.4254 0.1692 Cu
0.5746 0.8308 0.4423 Cu
0.8308 0.4423 0.5746 Cu
0.1767 0.3547 0.7291 Se
0.2566 0.2566 0.2566 Se
0.2709 0.8233 0.6453 Se
0.3547 0.7291 0.1767 Se
0.6453 0.2709 0.8233 Se
0.7291 0.1767 0.3547 Se
0.7434 0.7434 0.7434 Se
0.8233 0.6453 0.2709 Se